(1)
This record from Alexandria via LeMat-Bulk describes an optimized crystal structure of CdP4W. The functional is PBE.

Structure (POSCAR):
```
CdP4W
1.0
0.000 3.599 3.599
3.599 0.000 3.599
3.599 3.599 0.000
Cd P W
1 4 1
Direct
0.000 0.000 0.000
0.136 0.621 0.621
0.621 0.136 0.621
0.621 0.621 0.136
0.621 0.621 0.621
0.250 0.250 0.250
```

Output
* VASP energy: -30.101 eV for the cell shown
* N(E_F): 2.632 states/eV/cell
* spin magnetization: 0.00 Bohr magnetons per cell



(2)
This record from Alexandria via LeMat-Bulk describes an optimized crystal structure of CdP3W. The functional is PBE.

Structure (POSCAR):
```
CdP3W
1.0
4.739 0.000 0.000
0.000 4.739 0.000
0.000 0.000 4.739
Cd P W
1 3 1
Direct
0.000 0.000 0.000
0.000 0.000 0.500
0.000 0.500 0.000
0.500 0.000 0.000
0.500 0.500 0.500
```

Output
* VASP energy: -19.476 eV for the cell shown
* N(E_F): 7.584 states/eV/cell
* spin magnetization: 0.00 Bohr magnetons per cell



(3)
This record from Alexandria via LeMat-Bulk describes an optimized crystal structure of CdPW3. The functional is PBE.

Structure (POSCAR):
```
CdPW3
1.0
4.497 0.000 0.000
0.000 4.497 0.000
0.000 0.000 4.497
Cd P W
1 1 3
Direct
0.000 0.000 0.000
0.500 0.500 0.500
0.000 0.500 0.500
0.500 0.000 0.500
0.500 0.500 0.000
```

Output
* VASP energy: -40.551 eV for the cell shown
* N(E_F): 7.890 states/eV/cell
* spin magnetization: 0.00 Bohr magnetons per cell



(4)
This record from Alexandria via LeMat-Bulk describes an optimized crystal structure of Cd3PW. The functional is PBE.

Structure (POSCAR):
```
Cd3PW
1.0
4.997 0.000 0.000
0.000 4.997 0.000
0.000 0.000 4.997
Cd P W
3 1 1
Direct
0.000 0.000 0.500
0.000 0.500 0.000
0.500 0.000 0.000
0.000 0.000 0.000
0.500 0.500 0.500
```

Output
* VASP energy: -14.326 eV for the cell shown
* N(E_F): 1.897 states/eV/cell
* spin magnetization: 3.51 Bohr magnetons per cell



(5)
This record from Alexandria via LeMat-Bulk describes an optimized crystal structure of CdPW3. The functional is PBE.

Structure (POSCAR):
```
CdPW3
1.0
4.849 0.000 0.000
0.000 4.849 0.000
0.000 0.000 4.849
Cd P W
1 1 3
Direct
0.000 0.000 0.000
0.500 0.500 0.500
0.000 0.000 0.500
0.000 0.500 0.000
0.500 0.000 0.000
```

Output
* VASP energy: -28.722 eV for the cell shown
* N(E_F): 9.158 states/eV/cell
* spin magnetization: 0.00 Bohr magnetons per cell



(6)
This record from Alexandria via LeMat-Bulk describes an optimized crystal structure of CdP4W. The functional is PBE.

Structure (POSCAR):
```
CdP4W
1.0
4.807 0.000 0.000
0.000 8.101 0.000
-0.330 0.000 6.444
Cd P W
2 8 2
Direct
0.000 0.183 0.250
0.000 0.817 0.750
0.176 0.148 0.865
0.176 0.852 0.365
0.223 0.465 0.464
0.223 0.535 0.964
0.777 0.465 0.036
0.777 0.535 0.536
0.824 0.148 0.635
0.824 0.852 0.135
0.500 0.346 0.750
0.500 0.654 0.250
```

Output
* VASP energy: -68.585 eV for the cell shown
* N(E_F): 6.618 states/eV/cell
* spin magnetization: 0.00 Bohr magnetons per cell



(7)
This record from Alexandria via LeMat-Bulk describes an optimized crystal structure of YCdP4. The functional is PBE.

Structure (POSCAR):
```
YCdP4
1.0
0.000 3.786 3.786
3.786 0.000 3.786
3.786 3.786 0.000
Y Cd P
1 1 4
Direct
0.000 0.000 0.000
0.750 0.750 0.750
0.382 0.382 0.382
0.382 0.382 0.853
0.382 0.853 0.382
0.853 0.382 0.382
```

Output
* VASP energy: -28.893 eV for the cell shown
* N(E_F): 3.241 states/eV/cell
* spin magnetization: 0.00 Bohr magnetons per cell



(8)
This record from Alexandria via LeMat-Bulk describes an optimized crystal structure of Y2CdP. The functional is PBE.

Structure (POSCAR):
```
Y2CdP
1.0
4.208 0.000 0.000
0.000 4.208 0.000
0.000 0.000 10.885
Y Cd P
4 2 2
Direct
0.000 0.000 0.000
0.000 0.500 0.250
0.500 0.000 0.750
0.500 0.500 0.500
0.000 0.500 0.750
0.500 0.000 0.250
0.000 0.000 0.500
0.500 0.500 0.000
```

Output
* VASP energy: -42.848 eV for the cell shown
* N(E_F): 6.087 states/eV/cell
* spin magnetization: 0.00 Bohr magnetons per cell